(1)
# Ba2ScRe | Alexandria | PBE | optimized geometry
# Symmetry   P4/mmm (123)
data_Ba2ScRe
_chemical_formula_sum 'Ba2 Sc1 Re1'
_cell_length_a 4.656
_cell_length_b 4.662
_cell_length_c 5.358
_cell_angle_alpha 90.00
_cell_angle_beta 90.00
_cell_angle_gamma 90.00
_space_group_name_H-M_alt 'P 1'
_space_group_IT_number 1
_space_group_name_Hall 'P 1'
loop_
_atom_site_label
_atom_site_type_symbol
_atom_site_fract_x
_atom_site_fract_y
_atom_site_fract_z
_atom_site_occupancy
Ba1 Ba 0.000 0.000 0.000 1
Ba2 Ba 0.500 0.500 0.000 1
Re1 Re 0.500 0.000 0.500 1
Sc1 Sc 0.000 0.500 0.500 1



(2)
# Ba2ScRe | Alexandria | PBE | optimized geometry
# Symmetry   Imm2 (44)
data_Ba2ScRe
_chemical_formula_sum 'Ba2 Sc1 Re1'
_cell_length_a 7.080
_cell_length_b 7.080
_cell_length_c 7.080
_cell_angle_alpha 150.26
_cell_angle_beta 129.08
_cell_angle_gamma 60.08
_space_group_name_H-M_alt 'P 1'
_space_group_IT_number 1
_space_group_name_Hall 'P 1'
loop_
_atom_site_label
_atom_site_type_symbol
_atom_site_fract_x
_atom_site_fract_y
_atom_site_fract_z
_atom_site_occupancy
Ba1 Ba 0.995 0.995 0.000 1
Ba2 Ba 0.306 0.806 0.500 1
Re1 Re 0.524 0.524 0.000 1
Sc1 Sc 0.674 0.174 0.500 1



(3)
# BaSc2Re | Alexandria | PBE | optimized geometry
# Symmetry   I4_1/amd (141)
data_BaSc2Re
_chemical_formula_sum 'Ba2 Sc4 Re2'
_cell_length_a 7.744
_cell_length_b 7.744
_cell_length_c 7.771
_cell_angle_alpha 60.12
_cell_angle_beta 60.12
_cell_angle_gamma 90.00
_space_group_name_H-M_alt 'P 1'
_space_group_IT_number 1
_space_group_name_Hall 'P 1'
loop_
_atom_site_label
_atom_site_type_symbol
_atom_site_fract_x
_atom_site_fract_y
_atom_site_fract_z
_atom_site_occupancy
Sc1 Sc 0.875 0.125 0.250 1
Sc2 Sc 0.875 0.625 0.250 1
Sc3 Sc 0.375 0.125 0.750 1
Sc4 Sc 0.875 0.125 0.750 1
Re1 Re 0.000 0.000 0.000 1
Re2 Re 0.750 0.250 0.500 1
Ba1 Ba 0.500 0.500 0.000 1
Ba2 Ba 0.250 0.750 0.500 1



(4)
# Ba2ScRe | Alexandria | PBE | optimized geometry
# Symmetry   Fm-3m (225)
data_Ba2ScRe
_chemical_formula_sum 'Ba2 Sc1 Re1'
_cell_length_a 5.451
_cell_length_b 5.451
_cell_length_c 5.451
_cell_angle_alpha 60.00
_cell_angle_beta 60.00
_cell_angle_gamma 60.00
_space_group_name_H-M_alt 'P 1'
_space_group_IT_number 1
_space_group_name_Hall 'P 1'
loop_
_atom_site_label
_atom_site_type_symbol
_atom_site_fract_x
_atom_site_fract_y
_atom_site_fract_z
_atom_site_occupancy
Sc1 Sc 0.000 0.000 0.000 1
Re1 Re 0.500 0.500 0.500 1
Ba1 Ba 0.250 0.250 0.250 1
Ba2 Ba 0.750 0.750 0.750 1



(5)
# BaScRe2 | Alexandria | PBE | optimized geometry
# Symmetry   Immm (71)
data_BaScRe2
_chemical_formula_sum 'Ba1 Sc1 Re2'
_cell_length_a 5.912
_cell_length_b 5.912
_cell_length_c 5.912
_cell_angle_alpha 149.35
_cell_angle_beta 130.65
_cell_angle_gamma 59.22
_space_group_name_H-M_alt 'P 1'
_space_group_IT_number 1
_space_group_name_Hall 'P 1'
loop_
_atom_site_label
_atom_site_type_symbol
_atom_site_fract_x
_atom_site_fract_y
_atom_site_fract_z
_atom_site_occupancy
Ba1 Ba 0.250 0.750 0.500 1
Re1 Re 0.989 0.989 0.000 1
Re2 Re 0.511 0.511 0.000 1
Sc1 Sc 0.750 0.250 0.500 1



(6)
# Ba2ScRe | Alexandria | PBE | optimized geometry
# Symmetry   P2/m (10)
data_Ba2ScRe
_chemical_formula_sum 'Ba2 Sc1 Re1'
_cell_length_a 5.293
_cell_length_b 3.592
_cell_length_c 6.538
_cell_angle_alpha 70.49
_cell_angle_beta 90.00
_cell_angle_gamma 90.00
_space_group_name_H-M_alt 'P 1'
_space_group_IT_number 1
_space_group_name_Hall 'P 1'
loop_
_atom_site_label
_atom_site_type_symbol
_atom_site_fract_x
_atom_site_fract_y
_atom_site_fract_z
_atom_site_occupancy
Ba1 Ba 0.000 0.089 0.017 1
Ba2 Ba 0.000 0.411 0.483 1
Re1 Re 0.500 0.250 0.250 1
Sc1 Sc 0.500 0.750 0.750 1



(7)
# BaScRe2 | Alexandria | PBE | optimized geometry
# Symmetry   P4/mmm (123)
data_BaScRe2
_chemical_formula_sum 'Ba1 Sc1 Re2'
_cell_length_a 4.872
_cell_length_b 4.872
_cell_length_c 3.417
_cell_angle_alpha 90.00
_cell_angle_beta 90.00
_cell_angle_gamma 90.00
_space_group_name_H-M_alt 'P 1'
_space_group_IT_number 1
_space_group_name_Hall 'P 1'
loop_
_atom_site_label
_atom_site_type_symbol
_atom_site_fract_x
_atom_site_fract_y
_atom_site_fract_z
_atom_site_occupancy
Ba1 Ba 0.000 0.500 0.500 1
Re1 Re 0.000 0.000 0.000 1
Re2 Re 0.500 0.500 0.000 1
Sc1 Sc 0.500 0.000 0.500 1



(8)
# Ba2ScRe | Alexandria | PBE | optimized geometry
# Symmetry   I-4m2 (119)
data_Ba2ScRe
_chemical_formula_sum 'Ba2 Sc1 Re1'
_cell_length_a 5.440
_cell_length_b 5.440
_cell_length_c 5.440
_cell_angle_alpha 120.18
_cell_angle_beta 120.18
_cell_angle_gamma 89.69
_space_group_name_H-M_alt 'P 1'
_space_group_IT_number 1
_space_group_name_Hall 'P 1'
loop_
_atom_site_label
_atom_site_type_symbol
_atom_site_fract_x
_atom_site_fract_y
_atom_site_fract_z
_atom_site_occupancy
Ba1 Ba 0.000 0.000 0.000 1
Ba2 Ba 0.250 0.750 0.500 1
Re1 Re 0.500 0.500 0.000 1
Sc1 Sc 0.750 0.250 0.500 1



Q: Which DFT formation energy values were calculated for the entries above? A: 1.06; 0.67; 0.82; 1.13; 1.10; 1.12; 1.32; 0.95, in eV/atom.
Q: Which M_tot values were calculated for the entries above? A: 0.60; 0.00; 0.00; 0.00; 0.00; 0.50; 0.00; 0.00, in μB/cell.
Q: Which relative energy among the computed polymorphs values were calculated for the entries above? A: 567; 173; 671; 629; 796; 627; 1016; 454, in meV/atom.